Computed, not measured: SiWO2F after structural relaxation at the PBE+U level of DFT.

Lattice parameters (Å, degrees): 4.068 4.068 4.251 90.00 90.00 90.00
Positions (direct):
Si 0.500 0.500 0.500
O 0.500 0.000 0.000
W 0.000 0.000 0.000
O 0.000 0.500 0.000
F 0.000 0.000 0.500

Calculated values
E_tot = -5.90 eV per atom
Total magnetic moment = 2.0 μB per formula unit